Pm3DyHg6: optimized geometry, GGA-PBE.

Results
- V (Å³/cell) = 526.64
- total moment (μB/f.u.) = 0.0
- electronic total energy (eV per atom) = -2.50
- N(E_F) (states/eV per cell) = 15.9

```
20
Lattice="-4.908 -0.683 -1.583 2.598 1.794 -8.829 1.095 -11.102 1.394" Properties=species:S:1:pos:R:3 pbc="T T T"
Hg 1.261 -6.764 -5.264
Hg -0.095 -9.937 0.309
Hg -0.648 -2.046 -1.381
Hg 1.318 -2.125 -7.443
Hg -2.533 -7.866 -1.574
Hg -1.144 -4.670 -7.260
Hg -1.119 -0.055 -9.326
Hg 0.073 -0.302 -4.369
Hg -0.566 -7.945 -7.637
Dy -3.094 -4.770 -1.171
Pm -1.739 -6.450 -4.645
Pm 0.556 -8.315 -2.409
Pm 1.869 -9.796 -5.840
Hg -1.288 -9.689 -4.649
Pm -3.083 -0.196 -3.178
Dy 1.879 -5.221 -7.846
Hg -2.475 -3.228 -3.754
Hg -0.071 -5.322 -1.757
Pm -1.770 -1.676 -6.609
Pm 0.525 -3.541 -4.373
```